VASP calculation (PBE with a Hubbard U) on a relaxed structure of KRb2Co2F7.

Values from the calculation:
Fermi-level density of states	0.000	states/eV/atom
space-group type	C2/m
M_tot	6.0	μB/cell
E	-56.149	eV per cell

a = 4.171 Å, b = 4.171 Å, c = 11.444 Å
α = 100.45°, β = 100.45°, γ = 89.98°
Sites, in units of the cell vectors:
K 0.000 0.000 0.000
Rb 0.186 0.186 0.368
Rb 0.814 0.814 0.632
Co 0.407 0.407 0.814
Co 0.593 0.593 0.186
F 0.091 0.592 0.183
F 0.316 0.316 0.628
F 0.408 0.909 0.817
F 0.500 0.500 0.000
F 0.592 0.091 0.183
F 0.684 0.684 0.372
F 0.909 0.408 0.817